Entry from the Open Quantum Materials Database: a relaxed Tb4Ni13C4 crystal (PBE-GGA).

- magnetic moment (μB per formula unit) = 0.02
- uncorrected energy (eV/atom) = -6.426
- crystal system = orthorhombic

Unit cell a=8.411 b=8.411 c=3.869 alpha=90.00 beta=90.00 gamma=91.27
Fractional positions:
Tb1 0.187 0.813 0.000
Tb2 0.349 0.349 0.000
Tb3 0.651 0.651 0.000
Tb4 0.813 0.187 0.000
Ni1 0.000 0.000 0.500
Ni2 0.000 0.500 0.000
Ni3 0.075 0.291 0.500
Ni4 0.124 0.124 0.000
Ni5 0.216 0.570 0.500
Ni6 0.291 0.075 0.500
Ni7 0.430 0.784 0.500
Ni8 0.500 0.000 0.000
Ni9 0.570 0.216 0.500
Ni10 0.709 0.925 0.500
Ni11 0.784 0.430 0.500
Ni12 0.876 0.876 0.000
Ni13 0.925 0.709 0.500
C1 0.000 0.500 0.500
C2 0.443 0.557 0.500
C3 0.500 0.000 0.500
C4 0.557 0.443 0.500